# 1
A plane-wave DFT calculation with GGA-PBE was carried out for a relaxed structure of Sc3InOs.

The structure belongs to space group Pm-3m (No. 221); the cell edges are 5.146, 5.146 and 5.146 Å and the angles 90.00°, 90.00° and 90.00°. The inequivalent atoms are Sc at (0.000, 0.000, 0.500), In at (0.000, 0.000, 0.000) and Os at (0.500, 0.500, 0.500).

Its density of states at the Fermi level is 8.215 states/eV/f.u. The energy above the most stable polymorph in this dataset is 1354 meV per atom. The spin magnetization comes out at 0.02 μB/cell.

***

# 2
A plane-wave DFT calculation with GGA-PBE was carried out for a relaxed structure of ScInOs.

The structure belongs to space group P3m1 (No. 156); the cell edges are 3.1452, 3.1452 and 6.7985 Å and the angles 90.00°, 90.00° and 120.00°. The inequivalent atoms are Sc at (0.0000, 0.0000, 0.0000), In at (0.6667, 0.3333, 0.3862) and Os at (0.3333, 0.6667, 0.7134).

Its density of states at the Fermi level is 2.644 states/eV/f.u. The electronic total energy is -20.03 eV per cell. The spin magnetization comes out at 0.00 μB/cell.

***

# 3
A plane-wave DFT calculation with GGA-PBE was carried out for a relaxed structure of ScInOs.

The structure belongs to space group F-43m (No. 216); the cell edges are 6.393, 6.393 and 6.393 Å and the angles 90.00°, 90.00° and 90.00°. The inequivalent atoms are Sc at (0.000, 0.000, 0.000), In at (0.000, 0.000, 0.500) and Os at (0.250, 0.250, 0.750).

Its density of states at the Fermi level is 0.878 states/eV/f.u. The electronic total energy is -80.94 eV per cell. The spin magnetization comes out at 0.00 μB/cell.

***

# 4
A plane-wave DFT calculation with GGA-PBE was carried out for a relaxed structure of Sc3InOs.

The structure belongs to space group Pm-3m (No. 221); the cell edges are 5.029, 5.029 and 5.029 Å and the angles 90.00°, 90.00° and 90.00°. The inequivalent atoms are Sc at (0.000, 0.000, 0.500), In at (0.500, 0.500, 0.500) and Os at (0.000, 0.000, 0.000).

Its density of states at the Fermi level is 3.678 states/eV/f.u. The energy above the most stable polymorph in this dataset is 0 meV per atom. The spin magnetization comes out at 0.00 μB/cell.

***

# 5
A plane-wave DFT calculation with GGA-PBE was carried out for a relaxed structure of ScIn2Os.

The structure belongs to space group P4/mmm (No. 123); the cell edges are 4.138, 4.138 and 4.476 Å and the angles 90.00°, 90.00° and 90.00°. The inequivalent atoms are Sc at (0.000, 0.000, 0.000), In at (0.000, 0.500, 0.500) and Os at (0.500, 0.500, 0.000).

Its density of states at the Fermi level is 2.250 states/eV/f.u. The electronic total energy is -23.05 eV per cell. The spin magnetization comes out at 0.00 μB/cell.

***

# 6
A plane-wave DFT calculation with GGA-PBE was carried out for a relaxed structure of Sc5In4Os.

The structure belongs to space group P4/mmm (No. 123); the cell edges are 3.257, 3.257 and 20.188 Å and the angles 90.00°, 90.00° and 90.00°. The inequivalent atoms are Sc at (0.000, 0.000, 0.000), Sc at (0.000, 0.000, 0.210), Sc at (0.000, 0.000, 0.424), In at (0.500, 0.500, 0.105), In at (0.500, 0.500, 0.314) and Os at (0.500, 0.500, 0.500).

Its density of states at the Fermi level is 5.032 states/eV/f.u. The electronic total energy is -58.52 eV per cell. The spin magnetization comes out at 0.82 μB/cell.

***

# 7
A plane-wave DFT calculation with GGA-PBE was carried out for a relaxed structure of ScInOs3.

The structure belongs to space group Pm-3m (No. 221); the cell edges are 4.671, 4.671 and 4.671 Å and the angles 90.00°, 90.00° and 90.00°. The inequivalent atoms are Sc at (0.000, 0.000, 0.000), In at (0.500, 0.500, 0.500) and Os at (0.000, 0.000, 0.500).

Its density of states at the Fermi level is 7.548 states/eV/f.u. The energy above the most stable polymorph in this dataset is 0 meV per atom. The spin magnetization comes out at 1.34 μB/cell.

***

# 8
A plane-wave DFT calculation with GGA-PBE was carried out for a relaxed structure of ScIn2Os.

The structure belongs to space group Amm2 (No. 38); the cell edges are 3.197, 3.253 and 16.328 Å and the angles 90.00°, 90.00° and 90.00°. The inequivalent atoms are Sc at (0.000, 0.000, 0.000), In at (0.000, 0.000, 0.805), In at (0.500, 0.000, 0.642) and Os at (0.500, 0.000, 0.408).

Its density of states at the Fermi level is 2.044 states/eV/f.u. The electronic total energy is -46.81 eV per cell. The spin magnetization comes out at 0.00 μB/cell.

***

# 9
A plane-wave DFT calculation with GGA-PBE was carried out for a relaxed structure of Sc5In2Os.

The structure belongs to space group I4/mmm (No. 139); the cell edges are 4.834, 4.834 and 14.364 Å and the angles 90.00°, 90.00° and 90.00°. The inequivalent atoms are Sc at (0.000, 0.000, 0.000), Sc at (0.000, 0.500, 0.115), In at (0.000, 0.000, 0.247) and Os at (0.000, 0.000, 0.500).

Its density of states at the Fermi level is 7.339 states/eV/f.u. The electronic total energy is -101.62 eV per cell. The spin magnetization comes out at 0.00 μB/cell.

***

# 10
A plane-wave DFT calculation with GGA-PBE was carried out for a relaxed structure of ScIn2Os.

The structure belongs to space group Cmmm (No. 65); the cell edges are 5.825, 7.982 and 3.333 Å and the angles 90.00°, 90.00° and 90.00°. The inequivalent atoms are Sc at (0.000, 0.000, 0.000), In at (0.250, 0.250, 0.500) and Os at (0.000, 0.500, 0.000).

Its density of states at the Fermi level is 2.837 states/eV/f.u. The electronic total energy is -44.83 eV per cell. The spin magnetization comes out at 0.00 μB/cell.

***

# 11
A plane-wave DFT calculation with GGA-PBE was carried out for a relaxed structure of ScIn2Os.

The structure belongs to space group Cmmm (No. 65); the cell edges are 3.298, 5.119 and 9.534 Å and the angles 90.00°, 90.00° and 90.00°. The inequivalent atoms are Sc at (0.000, 0.000, 0.000), In at (0.000, 0.500, 0.269) and Os at (0.000, 0.000, 0.500).

Its density of states at the Fermi level is 4.382 states/eV/f.u. The electronic total energy is -43.62 eV per cell. The spin magnetization comes out at 0.00 μB/cell.

***

# 12
A plane-wave DFT calculation with GGA-PBE was carried out for a relaxed structure of ScInOs.

The structure belongs to space group Pnma (No. 62); the cell edges are 8.948, 4.037 and 7.027 Å and the angles 90.00°, 90.00° and 90.00°. The inequivalent atoms are Sc at (0.134, 0.250, 0.208), In at (0.134, 0.250, 0.790) and Os at (0.087, 0.750, 0.492).

Its density of states at the Fermi level is 2.136 states/eV/f.u. The electronic total energy is -82.22 eV per cell. The spin magnetization comes out at 0.00 μB/cell.

***

# 13
A plane-wave DFT calculation with GGA-PBE was carried out for a relaxed structure of ScIn2Os.

The structure belongs to space group F-43m (No. 216); the cell edges are 6.742, 6.742 and 6.742 Å and the angles 90.00°, 90.00° and 90.00°. The inequivalent atoms are Sc at (0.000, 0.000, 0.000), In at (0.000, 0.000, 0.500), In at (0.250, 0.250, 0.250) and Os at (0.250, 0.250, 0.750).

Its density of states at the Fermi level is 3.901 states/eV/f.u. The electronic total energy is -90.74 eV per cell. The spin magnetization comes out at 0.00 μB/cell.

***

# 14
A plane-wave DFT calculation with GGA-PBE was carried out for a relaxed structure of Sc6In3Os.

The structure belongs to space group P2_1/m (No. 11); the cell edges are 8.670, 4.920 and 10.630 Å and the angles 90.00°, 106.74° and 90.00°. The inequivalent atoms are Sc at (0.048, 0.250, 0.418), Sc at (0.191, 0.750, 0.172), Sc at (0.285, 0.250, 0.008), Sc at (0.357, 0.750, 0.825), Sc at (0.368, 0.250, 0.330), Sc at (0.409, 0.250, 0.640), In at (0.018, 0.750, 0.882), In at (0.110, 0.250, 0.719), In at (0.280, 0.750, 0.479) and Os at (0.460, 0.750, 0.097).

Its density of states at the Fermi level is 8.688 states/eV/f.u. The electronic total energy is -122.92 eV per cell. The spin magnetization comes out at 1.01 μB/cell.

***

# 15
A plane-wave DFT calculation with GGA-PBE was carried out for a relaxed structure of Sc6In2Os.

The structure belongs to space group P-62m (No. 189); the cell edges are 8.0491, 8.0491 and 3.6443 Å and the angles 90.00°, 90.00° and 120.00°. The inequivalent atoms are Sc at (0.0000, 0.2450, 0.0000), Sc at (0.0000, 0.6207, 0.5000), In at (0.3333, 0.6667, 0.0000) and Os at (0.0000, 0.0000, 0.5000).

Its density of states at the Fermi level is 9.809 states/eV/f.u. The electronic total energy is -58.06 eV per cell. The spin magnetization comes out at 0.00 μB/cell.

***

# 16
A plane-wave DFT calculation with GGA-PBE was carried out for a relaxed structure of Sc4InOs.

The structure belongs to space group R-3m (No. 166, hexagonal axes); the cell edges are 4.6991, 4.6991 and 22.9783 Å and the angles 90.00°, 90.00° and 120.00°. The inequivalent atoms are Sc at (0.0000, 0.0000, 0.1129), Sc at (0.0000, 0.0000, 0.3653), In at (0.0000, 0.0000, 0.5000) and Os at (0.0000, 0.0000, 0.0000).

Its density of states at the Fermi level is 5.128 states/eV/f.u. The energy above the most stable polymorph in this dataset is 175 meV per atom. The spin magnetization comes out at 0.00 μB/cell.

***

# 17
A plane-wave DFT calculation with GGA-PBE was carried out for a relaxed structure of ScInOs.

The structure belongs to space group I4mm (No. 107); the cell edges are 3.413, 3.413 and 9.461 Å and the angles 90.00°, 90.00° and 90.00°. The inequivalent atoms are Sc at (0.000, 0.000, 0.000), In at (0.000, 0.000, 0.691) and Os at (0.000, 0.000, 0.358).

The electronic total energy is -41.96 eV per cell. The spin magnetization comes out at 0.00 μB/cell.

***

# 18
A plane-wave DFT calculation with GGA-PBE was carried out for a relaxed structure of ScTiInOs.

The structure belongs to space group F-43m (No. 216); the cell edges are 6.579, 6.579 and 6.579 Å and the angles 90.00°, 90.00° and 90.00°. The inequivalent atoms are Sc at (0.000, 0.000, 0.000), Ti at (0.000, 0.000, 0.500), In at (0.250, 0.250, 0.750) and Os at (0.250, 0.250, 0.250).

Its density of states at the Fermi level is 2.266 states/eV/f.u. The electronic total energy is -117.26 eV per cell. The spin magnetization comes out at 0.00 μB/cell.

***

# 19
A plane-wave DFT calculation with GGA-PBE was carried out for a relaxed structure of TmScInOs.

The structure belongs to space group F-43m (No. 216); the cell edges are 6.886, 6.886 and 6.886 Å and the angles 90.00°, 90.00° and 90.00°. The inequivalent atoms are Tm at (0.000, 0.000, 0.000), Sc at (0.000, 0.000, 0.500), In at (0.250, 0.250, 0.250) and Os at (0.250, 0.250, 0.750).

Its density of states at the Fermi level is 3.424 states/eV/f.u. The energy above the most stable polymorph in this dataset is 149 meV per atom. The spin magnetization comes out at 0.00 μB/cell.

***

# 20
A plane-wave DFT calculation with GGA-PBE was carried out for a relaxed structure of TmScInOs.

The structure belongs to space group P4mm (No. 99); the cell edges are 3.356, 3.356 and 7.464 Å and the angles 90.00°, 90.00° and 90.00°. The inequivalent atoms are Tm at (0.000, 0.000, 0.000), Sc at (0.000, 0.000, 0.578), In at (0.500, 0.500, 0.308) and Os at (0.500, 0.500, 0.773).

Its density of states at the Fermi level is 2.729 states/eV/f.u. The energy above the most stable polymorph in this dataset is 0 meV per atom. The spin magnetization comes out at 0.00 μB/cell.